# 1
Density functional theory data (PBE) for La2Re3 after structural relaxation.

For the excess energy over the best structure of this formula in the dataset, the calculation gives 0 meV/atom. As for the final energy: -9.246 eV/atom. For the size of the total moment, the calculation gives 0.00 μB per cell. The value obtained for the energy relative to the elements is 0.19 eV/atom.

Cell: 9.0803 8.1380 5.9194 Å, 78.74 61.52 39.74°
Closest atoms and distances in Å follow each position.
Fractional coordinates of all 10 atoms:
1 La 0.5173 0.3875 0.8158  7 Re 3.09-3.45
2 La 0.2794 0.8158 0.3875  7 Re 3.09-3.45
3 La 0.8625 0.7327 0.9706  7 Re 3.09-3.45
4 La 0.4342 0.9706 0.7327  7 Re 3.09-3.45
5 Re 0.4472 0.3000 0.3842  2 Re 2.51-2.52
6 Re 0.8686 0.3842 0.3000  2 Re 2.51-2.52
7 Re 0.9500 0.8028 0.3814  2 Re 2.51-2.52
8 Re 0.8658 0.3814 0.8028  2 Re 2.51-2.52
9 Re 0.8874 0.1126 0.1126  4 Re 2.51-2.52
10 Re 0.1374 0.3626 0.3626  4 Re 2.51-2.52


# 2
Density functional theory data (PBE) for La4Re after structural relaxation.

For the excess energy over the best structure of this formula in the dataset, the calculation gives 209 meV/atom. As for the final energy: -6.097 eV/atom. For the size of the total moment, the calculation gives 0.00 μB per cell. The value obtained for the energy relative to the elements is 0.33 eV/atom.

Cell: 13.6301 13.6301 13.6301 Å, 15.82 15.82 15.82°
Closest atoms and distances in Å follow each position.
Fractional coordinates of all 5 atoms:
1 La 0.8820 0.8820 0.8820  3 Re 2.93
2 La 0.2980 0.2980 0.2980  12 La 3.58-3.98
3 La 0.7020 0.7020 0.7020  12 La 3.58-3.98
4 La 0.1180 0.1180 0.1180  3 Re 2.93
5 Re 0.5000 0.5000 0.5000  6 La 2.93


# 3
Density functional theory data (PBE) for LaRe3 after structural relaxation.

For the excess energy over the best structure of this formula in the dataset, the calculation gives 856 meV/atom. As for the final energy: -9.334 eV/atom. For the size of the total moment, the calculation gives 0.00 μB per cell. The value obtained for the energy relative to the elements is 1.23 eV/atom.

Cell: 5.3258 5.3258 5.3258 Å, 90.00 90.00 90.00°
Closest atoms and distances in Å follow each position.
Fractional coordinates of all 8 atoms:
1 La 0.0000 0.0000 0.0000  12 Re 2.98
2 La 0.5000 0.5000 0.5000  12 Re 2.98
3 Re 0.0000 0.2500 0.5000  2 Re 2.66, 4 La 2.98
4 Re 0.0000 0.7500 0.5000  2 Re 2.66, 4 La 2.98
5 Re 0.2500 0.5000 0.0000  2 Re 2.66, 4 La 2.98
6 Re 0.5000 0.0000 0.2500  2 Re 2.66, 4 La 2.98
7 Re 0.5000 0.0000 0.7500  2 Re 2.66, 4 La 2.98
8 Re 0.7500 0.5000 0.0000  2 Re 2.66, 4 La 2.98


# 4
Density functional theory data (PBE) for LaRe3 after structural relaxation.

For the excess energy over the best structure of this formula in the dataset, the calculation gives 3781 meV/atom. As for the final energy: -6.410 eV/atom. For the size of the total moment, the calculation gives 2.59 μB per cell. The value obtained for the energy relative to the elements is 4.16 eV/atom.

Cell: 4.8429 4.8429 4.8429 Å, 90.00 90.00 90.00°
Closest atoms and distances in Å follow each position.
Fractional coordinates of all 4 atoms:
1 La 0.0000 0.0000 0.0000  6 Re 2.42
2 Re 0.0000 0.0000 0.5000  2 La 2.42
3 Re 0.0000 0.5000 0.0000  2 La 2.42
4 Re 0.5000 0.0000 0.0000  2 La 2.42


# 5
Density functional theory data (PBE) for LaRe2 after structural relaxation.

As for the final energy: -9.594 eV/atom. For the size of the total moment, the calculation gives 0.00 μB per cell. The value obtained for the energy relative to the elements is 0.35 eV/atom.

Cell: 7.9845 7.9845 7.9845 Å, 148.32 148.32 45.41°
Closest atoms and distances in Å follow each position.
Fractional coordinates of all 6 atoms:
1 La 0.0000 0.0000 0.0000  12 Re 3.28-3.32
2 La 0.7500 0.2500 0.5000  12 Re 3.28-3.32
3 Re 0.3339 0.8339 0.5000  3 Re 2.47-2.49
4 Re 0.1661 0.6661 0.5000  3 Re 2.47-2.49
5 Re 0.5839 0.5839 0.0000  3 Re 2.47-2.49
6 Re 0.4161 0.4161 0.0000  3 Re 2.47-2.49


# 6
Density functional theory data (PBE) for La3Re after structural relaxation.

As for the final energy: -6.380 eV/atom. For the size of the total moment, the calculation gives 0.00 μB per cell. The value obtained for the energy relative to the elements is 0.43 eV/atom.

Cell: 5.9456 5.9456 5.9456 Å, 90.00 90.00 90.00°
Closest atoms and distances in Å follow each position.
Fractional coordinates of all 8 atoms:
1 La 0.0000 0.2500 0.5000  2 La 2.97, 4 Re 3.32
2 La 0.0000 0.7500 0.5000  2 La 2.97, 4 Re 3.32
3 La 0.2500 0.5000 0.0000  2 La 2.97, 4 Re 3.32
4 La 0.5000 0.0000 0.2500  2 La 2.97, 4 Re 3.32
5 La 0.5000 0.0000 0.7500  2 La 2.97, 4 Re 3.32
6 La 0.7500 0.5000 0.0000  2 La 2.97, 4 Re 3.32
7 Re 0.0000 0.0000 0.0000  12 La 3.32
8 Re 0.5000 0.5000 0.5000  12 La 3.32


# 7
Density functional theory data (PBE) for LaRe3 after structural relaxation.

For the excess energy over the best structure of this formula in the dataset, the calculation gives 170 meV/atom. As for the final energy: -10.021 eV/atom. For the size of the total moment, the calculation gives 0.00 μB per cell. The value obtained for the energy relative to the elements is 0.55 eV/atom.

Cell: 5.8211 5.8211 4.3572 Å, 90.00 90.00 99.99°
Closest atoms and distances in Å follow each position.
Fractional coordinates of all 8 atoms:
1 La 0.6040 0.3960 0.2500  2 Re 2.75, 2 La 2.86
2 La 0.3960 0.6040 0.7500  2 Re 2.75, 2 La 2.86
3 Re 0.1114 0.8886 0.2500  8 Re 2.68-2.95
4 Re 0.6541 0.9349 0.2500  3 Re 2.68-2.72, 1 La 2.75
5 Re 0.0651 0.3459 0.2500  3 Re 2.68-2.72, 1 La 2.75
6 Re 0.8886 0.1114 0.7500  8 Re 2.68-2.95
7 Re 0.3459 0.0651 0.7500  3 Re 2.68-2.72, 1 La 2.75
8 Re 0.9349 0.6541 0.7500  3 Re 2.68-2.72, 1 La 2.75


# 8
Density functional theory data (PBE) for LaRe2 after structural relaxation.

As for the final energy: -7.966 eV/atom. For the size of the total moment, the calculation gives 0.00 μB per cell. The value obtained for the energy relative to the elements is 1.98 eV/atom.

Cell: 6.6562 6.6562 6.6562 Å, 90.00 90.00 90.00°
Closest atoms and distances in Å follow each position.
Fractional coordinates of all 12 atoms:
1 Re 0.0986 0.5986 0.9014  1 Re 2.27
2 Re 0.0986 0.9014 0.4014  1 Re 2.27
3 Re 0.4014 0.0986 0.9014  1 Re 2.27
4 Re 0.4014 0.4014 0.4014  1 Re 2.27
5 Re 0.5986 0.5986 0.5986  1 Re 2.27
6 Re 0.5986 0.9014 0.0986  1 Re 2.27
7 Re 0.9014 0.0986 0.5986  1 Re 2.27
8 Re 0.9014 0.4014 0.0986  1 Re 2.27
9 La 0.0000 0.0000 0.0000  6 Re 2.83
10 La 0.0000 0.5000 0.5000  6 Re 2.83
11 La 0.5000 0.0000 0.5000  6 Re 2.83
12 La 0.5000 0.5000 0.0000  6 Re 2.83